A relaxed Ac2Mg16Pb crystal, computed with PBE.

abc: 7.929 7.929 7.929
angles: 83.00 83.00 83.00
Positions (direct):
Ac1 0.000 0.000 0.000
Ac2 0.335 0.335 0.335
Mg1 0.015 0.015 0.508
Mg2 0.015 0.508 0.015
Mg3 0.163 0.671 0.671
Mg4 0.317 0.317 0.833
Mg5 0.317 0.833 0.317
Mg6 0.365 0.668 0.971
Mg7 0.365 0.971 0.668
Mg8 0.508 0.015 0.015
Mg9 0.668 0.365 0.971
Mg10 0.668 0.971 0.365
Mg11 0.671 0.163 0.671
Mg12 0.671 0.671 0.163
Mg13 0.763 0.763 0.763
Mg14 0.833 0.317 0.317
Mg15 0.971 0.365 0.668
Mg16 0.971 0.668 0.365
Pb1 0.567 0.567 0.567

* symmetry: R3m
* spin magnetization: 0.0 Bohr magnetons per cell
* DFT formation energy: -0.1039 eV per atom